# Pa2InTe | the Alexandria database | PBE | relaxed
# SG = P4/mmm, No. 123
# Total DFT energy (no corrections) = -25.81 eV/cell
# Raw formation energy = -0.24 eV/atom
# Crystal system = tetragonal
data_Pa2InTe
_cell_length_a 3.5621
_cell_length_b 3.5621
_cell_length_c 8.2224
_cell_angle_alpha 90.00
_cell_angle_beta 90.00
_cell_angle_gamma 90.00
_symmetry_space_group_name_H-M 'P 1'
_symmetry_Int_Tables_number 1
loop_
_symmetry_equiv_pos_as_xyz
'x,y,z'
loop_
_atom_site_label
_atom_site_type_symbol
_atom_site_fract_x
_atom_site_fract_y
_atom_site_fract_z
_atom_site_occupancy
Pa1 Pa 0.0000 0.0000 0.7619 1
Pa2 Pa 0.0000 0.0000 0.2381 1
Te1 Te 0.5000 0.5000 0.0000 1
In1 In 0.5000 0.5000 0.5000 1

# SbPIr2 | the Alexandria database | PBE | relaxed
# SG = Imm2, No. 44
# Total DFT energy (no corrections) = -27.29 eV/cell
# Raw formation energy = -0.01 eV/atom
# Crystal system = orthorhombic
data_SbPIr2
_cell_length_a 6.8713
_cell_length_b 6.8713
_cell_length_c 6.8713
_cell_angle_alpha 153.03
_cell_angle_beta 151.44
_cell_angle_gamma 39.69
_symmetry_space_group_name_H-M 'P 1'
_symmetry_Int_Tables_number 1
loop_
_symmetry_equiv_pos_as_xyz
'x,y,z'
loop_
_atom_site_label
_atom_site_type_symbol
_atom_site_fract_x
_atom_site_fract_y
_atom_site_fract_z
_atom_site_occupancy
Sb1 Sb 0.7967 0.2967 0.5000 1
P1 P 0.5435 0.5435 0.0000 1
Ir1 Ir 0.9881 0.9881 0.0000 1
Ir2 Ir 0.1717 0.6717 0.5000 1

# CaHo5Al3 | the Alexandria database | PBE | relaxed
# E_form = -2.3 eV/f.u.
# SG = P6_3/mcm, No. 193
# Total DFT energy (no corrections) = -76.92 eV/cell
# Crystal system = hexagonal
data_CaHo5Al3
_cell_length_a 6.6278
_cell_length_b 9.0718
_cell_length_c 9.0716
_cell_angle_alpha 120.00
_cell_angle_beta 90.00
_cell_angle_gamma 90.00
_symmetry_space_group_name_H-M 'P 1'
_symmetry_Int_Tables_number 1
loop_
_symmetry_equiv_pos_as_xyz
'x,y,z'
loop_
_atom_site_label
_atom_site_type_symbol
_atom_site_fract_x
_atom_site_fract_y
_atom_site_fract_z
_atom_site_occupancy
Ca1 Ca 0.0000 0.0000 0.0000 1
Ca2 Ca 0.5000 0.0000 0.0000 1
Ho1 Ho 0.0000 0.6667 0.3333 1
Ho2 Ho 0.5000 0.3333 0.6667 1
Ho3 Ho 0.0000 0.3333 0.6667 1
Ho4 Ho 0.5000 0.6667 0.3333 1
Ho5 Ho 0.7500 0.6676 0.6676 1
Ho6 Ho 0.7500 0.0000 0.3324 1
Ho7 Ho 0.7500 0.3324 0.0000 1
Ho8 Ho 0.2500 0.3324 0.3324 1
Ho9 Ho 0.2500 0.0000 0.6676 1
Ho10 Ho 0.2500 0.6676 0.0000 1
Al1 Al 0.7500 0.3380 0.3380 1
Al2 Al 0.7500 0.0000 0.6620 1
Al3 Al 0.7500 0.6620 0.0000 1
Al4 Al 0.2500 0.6620 0.6620 1
Al5 Al 0.2500 0.0000 0.3380 1
Al6 Al 0.2500 0.3380 0.0000 1

# NaCo2Se2 | the Alexandria database | PBE | relaxed
# SG = I4/mmm, No. 139
# Total DFT energy (no corrections) = -24.53 eV/cell
# Raw formation energy = -0.41 eV/atom
# Crystal system = tetragonal
data_NaCo2Se2
_cell_length_a 3.8433
_cell_length_b 3.8433
_cell_length_c 6.7538
_cell_angle_alpha 73.47
_cell_angle_beta 73.47
_cell_angle_gamma 90.00
_symmetry_space_group_name_H-M 'P 1'
_symmetry_Int_Tables_number 1
loop_
_symmetry_equiv_pos_as_xyz
'x,y,z'
loop_
_atom_site_label
_atom_site_type_symbol
_atom_site_fract_x
_atom_site_fract_y
_atom_site_fract_z
_atom_site_occupancy
Na1 Na 0.0000 0.0000 0.0000 1
Co1 Co 0.7500 0.2500 0.5000 1
Co2 Co 0.2500 0.7500 0.5000 1
Se1 Se 0.3588 0.3588 0.2824 1
Se2 Se 0.6412 0.6412 0.7176 1

# Ac3MgIn2 | the Alexandria database | PBE | relaxed
# E_form = -1.8 eV/f.u.
# SG = P4/mmm, No. 123
# Total DFT energy (no corrections) = -21.21 eV/cell
# Crystal system = tetragonal
data_Ac3MgIn2
_cell_length_a 4.0851
_cell_length_b 4.0851
_cell_length_c 12.4719
_cell_angle_alpha 90.00
_cell_angle_beta 90.00
_cell_angle_gamma 90.00
_symmetry_space_group_name_H-M 'P 1'
_symmetry_Int_Tables_number 1
loop_
_symmetry_equiv_pos_as_xyz
'x,y,z'
loop_
_atom_site_label
_atom_site_type_symbol
_atom_site_fract_x
_atom_site_fract_y
_atom_site_fract_z
_atom_site_occupancy
Ac1 Ac 0.0000 0.0000 0.0000 1
Ac2 Ac 0.0000 0.0000 0.6653 1
Ac3 Ac 0.0000 0.0000 0.3347 1
Mg1 Mg 0.5000 0.5000 0.5000 1
In1 In 0.5000 0.5000 0.8275 1
In2 In 0.5000 0.5000 0.1725 1

# Sm2HgBi | the Alexandria database | PBE | relaxed
# E_form = -2.2 eV/f.u.
# SG = Fm-3m, No. 225
# Total DFT energy (no corrections) = -15.84 eV/cell
# Crystal system = cubic
data_Sm2HgBi
_cell_length_a 5.4571
_cell_length_b 5.4571
_cell_length_c 5.4571
_cell_angle_alpha 60.00
_cell_angle_beta 60.00
_cell_angle_gamma 60.00
_symmetry_space_group_name_H-M 'P 1'
_symmetry_Int_Tables_number 1
loop_
_symmetry_equiv_pos_as_xyz
'x,y,z'
loop_
_atom_site_label
_atom_site_type_symbol
_atom_site_fract_x
_atom_site_fract_y
_atom_site_fract_z
_atom_site_occupancy
Bi1 Bi 0.5000 0.5000 0.5000 1
Sm1 Sm 0.2500 0.2500 0.2500 1
Sm2 Sm 0.7500 0.7500 0.7500 1
Hg1 Hg 0.0000 0.0000 0.0000 1

# La4Tl2Zn | the Alexandria database | PBE | relaxed
# E_form = -1.8 eV/f.u.
# SG = R-3m, No. 166
# Total DFT energy (no corrections) = -27.53 eV/cell
# Crystal system = trigonal
data_La4Tl2Zn
_cell_length_a 5.4946
_cell_length_b 5.4946
_cell_length_c 9.4165
_cell_angle_alpha 73.04
_cell_angle_beta 73.04
_cell_angle_gamma 60.00
_symmetry_space_group_name_H-M 'P 1'
_symmetry_Int_Tables_number 1
loop_
_symmetry_equiv_pos_as_xyz
'x,y,z'
loop_
_atom_site_label
_atom_site_type_symbol
_atom_site_fract_x
_atom_site_fract_y
_atom_site_fract_z
_atom_site_occupancy
La1 La 0.8748 0.8748 0.3757 1
La2 La 0.1252 0.1252 0.6243 1
La3 La 0.6236 0.6236 0.1292 1
La4 La 0.3764 0.3764 0.8708 1
Tl1 Tl 0.7494 0.7494 0.7518 1
Tl2 Tl 0.2506 0.2506 0.2482 1
Zn1 Zn 0.0000 0.0000 0.0000 1

# Sr2ReRuO | the Alexandria database | PBE | relaxed
# SG = P4/mmm, No. 123
# Total DFT energy (no corrections) = -30.17 eV/cell
# Raw formation energy = -0.02 eV/atom
# Crystal system = tetragonal
data_Sr2ReRuO
_cell_length_a 5.2095
_cell_length_b 3.8649
_cell_length_c 5.2095
_cell_angle_alpha 90.00
_cell_angle_beta 90.00
_cell_angle_gamma 90.00
_symmetry_space_group_name_H-M 'P 1'
_symmetry_Int_Tables_number 1
loop_
_symmetry_equiv_pos_as_xyz
'x,y,z'
loop_
_atom_site_label
_atom_site_type_symbol
_atom_site_fract_x
_atom_site_fract_y
_atom_site_fract_z
_atom_site_occupancy
Re1 Re 0.0000 0.5000 0.0000 1
O1 O 0.0000 0.0000 0.0000 1
Sr1 Sr 0.0000 0.0000 0.5000 1
Sr2 Sr 0.5000 0.0000 0.0000 1
Ru1 Ru 0.5000 0.5000 0.5000 1

In μB per cell, the size of the total moment values for the records above are, in order, 1.83; 0.00; 0.00; 2.17; 0.00; 0.00; 0.02; 1.13.